(1)
DFT (PBE-GGA) results for a relaxed TiH3N crystal.

a b c (Å): 3.156 3.156 3.156
angles (deg): 90.00 90.00 90.00
Element x y z (fractional)
Ti: 0.000 0.000 0.000
H: 0.000 0.500 0.500
H: 0.500 0.000 0.500
H: 0.500 0.500 0.000
N: 0.500 0.500 0.500

Results
Magnetic moment (μB per formula unit): 0.000
Distance to the lowest polymorph of the same formula (meV per atom): 0
N(E_F) (states/eV/cell): 1.3

(2)
DFT (PBE-GGA) results for a relaxed Ti5H2N5 crystal.

a b c (Å): 5.171 5.171 8.273
angles (deg): 102.79 102.79 32.42
Element x y z (fractional)
Ti: 0.000 0.000 0.000
Ti: 0.120 0.120 0.436
Ti: 0.284 0.284 0.180
Ti: 0.716 0.716 0.820
Ti: 0.880 0.880 0.564
H: 0.055 0.055 0.790
H: 0.945 0.945 0.210
N: 0.262 0.262 0.650
N: 0.352 0.352 0.955
N: 0.500 0.500 0.500
N: 0.648 0.648 0.045
N: 0.738 0.738 0.350

Results
Raw total energy (eV per atom): -8.497
Magnetic moment (μB per formula unit): 0.000
N(E_F) (states/eV/cell): 3.6

(3)
DFT (PBE-GGA) results for a relaxed Ti4H2N crystal.

a b c (Å): 2.973 5.329 5.336
angles (deg): 113.31 94.05 93.89
Element x y z (fractional)
Ti: 0.003 0.264 0.238
Ti: 0.445 0.256 0.757
Ti: 0.555 0.744 0.243
Ti: 0.997 0.736 0.762
H: 0.497 0.873 0.625
H: 0.503 0.127 0.375
N: 0.000 0.500 0.000

Results
Magnetic moment (μB per formula unit): 0.000
Distance to the lowest polymorph of the same formula (meV per atom): 0
N(E_F) (states/eV/cell): 5.1

(4)
DFT (PBE-GGA) results for a relaxed Ti5H4N crystal.

a b c (Å): 5.172 5.172 5.172
angles (deg): 99.15 99.15 132.99
Element x y z (fractional)
Ti: 0.000 0.000 0.000
Ti: 0.204 0.601 0.805
Ti: 0.399 0.204 0.603
Ti: 0.601 0.796 0.397
Ti: 0.796 0.399 0.195
H: 0.101 0.301 0.402
H: 0.301 0.899 0.200
H: 0.699 0.101 0.800
H: 0.899 0.699 0.598
N: 0.500 0.500 0.000

Results
Raw total energy (eV per atom): -6.783
Magnetic moment (μB per formula unit): 0.000
N(E_F) (states/eV/cell): 5.3

(5)
DFT (PBE-GGA) results for a relaxed Ti9H2N4 crystal.

a b c (Å): 5.172 5.172 14.707
angles (deg): 90.00 90.00 120.00
Element x y z (fractional)
Ti: 0.000 0.347 0.250
Ti: 0.000 0.653 0.750
Ti: 0.008 0.352 0.583
Ti: 0.008 0.655 0.083
Ti: 0.345 0.352 0.083
Ti: 0.345 0.992 0.583
Ti: 0.347 0.000 0.250
Ti: 0.347 0.347 0.750
Ti: 0.352 0.008 0.917
Ti: 0.352 0.345 0.417
Ti: 0.648 0.655 0.583
Ti: 0.648 0.992 0.083
Ti: 0.653 0.000 0.750
Ti: 0.653 0.653 0.250
Ti: 0.655 0.008 0.417
Ti: 0.655 0.648 0.917
Ti: 0.992 0.345 0.917
Ti: 0.992 0.648 0.417
H: 0.000 0.000 0.164
H: 0.000 0.000 0.336
H: 0.000 0.000 0.664
H: 0.000 0.000 0.836
N: 0.333 0.667 0.172
N: 0.333 0.667 0.495
N: 0.333 0.667 0.672
N: 0.333 0.667 0.995
N: 0.667 0.333 0.005
N: 0.667 0.333 0.328
N: 0.667 0.333 0.505
N: 0.667 0.333 0.828

Results
Raw total energy (eV per atom): -8.484
Magnetic moment (μB per formula unit): 0.000
N(E_F) (states/eV/cell): 17.8

(6)
DFT (PBE-GGA) results for a relaxed Ti6H3N crystal.

a b c (Å): 6.545 6.545 5.481
angles (deg): 90.00 90.00 96.89
Element x y z (fractional)
Ti: 0.032 0.968 0.500
Ti: 0.066 0.569 0.286
Ti: 0.251 0.749 0.842
Ti: 0.323 0.347 0.036
Ti: 0.347 0.323 0.536
Ti: 0.431 0.934 0.286
Ti: 0.569 0.066 0.786
Ti: 0.653 0.677 0.036
Ti: 0.677 0.653 0.536
Ti: 0.749 0.251 0.342
Ti: 0.934 0.431 0.786
Ti: 0.968 0.032 0.000
H: 0.088 0.244 0.283
H: 0.244 0.088 0.783
H: 0.452 0.548 0.790
H: 0.548 0.452 0.290
H: 0.756 0.912 0.283
H: 0.912 0.756 0.783
N: 0.152 0.848 0.179
N: 0.848 0.152 0.679

Results
Raw total energy (eV per atom): -6.936
Magnetic moment (μB per formula unit): 0.000
N(E_F) (states/eV/cell): 15.6

What is the magnetic moment in the sixth record?
0.000 μB per formula unit

The highest N(E_F) belongs to which entry?
Ti9H2N4